An optimized crystal structure of BeGa2RhBr, computed with PBE-GGA.

```
data_BeGa2RhBr
_chemical_formula_sum 'Be1 Ga2 Rh1 Br1'
_space_group_name_H-M_alt 'P 4/m m m'
_space_group_IT_number 123
_space_group_name_Hall '-P 4 2'
_cell_length_a 4.9081
_cell_length_b 4.9081
_cell_length_c 4.3171
_cell_angle_alpha 90.00
_cell_angle_beta 90.00
_cell_angle_gamma 90.00
loop_
_atom_site_label
_atom_site_type_symbol
_atom_site_fract_x
_atom_site_fract_y
_atom_site_fract_z
Be1 Be 0.0000 0.0000 0.0000
Ga1 Ga 0.0000 0.5000 0.5000
Rh1 Rh 0.0000 0.0000 0.5000
Br1 Br 0.5000 0.5000 0.0000
```

Output
Spin magnetization: 0.0 μB/f.u.

An optimized crystal structure of BeGaSe2Br, computed with PBE-GGA.

```
data_BeGaSe2Br
_chemical_formula_sum 'Be1 Ga1 Se2 Br1'
_space_group_name_H-M_alt 'P 4/m m m'
_space_group_IT_number 123
_space_group_name_Hall '-P 4 2'
_cell_length_a 5.0119
_cell_length_b 5.0119
_cell_length_c 5.0351
_cell_angle_alpha 90.00
_cell_angle_beta 90.00
_cell_angle_gamma 90.00
loop_
_atom_site_label
_atom_site_type_symbol
_atom_site_fract_x
_atom_site_fract_y
_atom_site_fract_z
Be1 Be 0.0000 0.0000 0.0000
Ga1 Ga 0.5000 0.5000 0.5000
Se1 Se 0.0000 0.5000 0.5000
Br1 Br 0.5000 0.5000 0.0000
```

Output
Spin magnetization: 0.0 μB/f.u.
Distance to the lowest polymorph of the same formula: 639 meV/atom

An optimized crystal structure of BeGaSeBr2, computed with PBE-GGA.

```
data_BeGaSeBr2
_chemical_formula_sum 'Be1 Ga1 Se1 Br2'
_space_group_name_H-M_alt 'P 4/m m m'
_space_group_IT_number 123
_space_group_name_Hall '-P 4 2'
_cell_length_a 5.0780
_cell_length_b 5.0780
_cell_length_c 5.1502
_cell_angle_alpha 90.00
_cell_angle_beta 90.00
_cell_angle_gamma 90.00
loop_
_atom_site_label
_atom_site_type_symbol
_atom_site_fract_x
_atom_site_fract_y
_atom_site_fract_z
Be1 Be 0.0000 0.0000 0.0000
Ga1 Ga 0.5000 0.5000 0.5000
Se1 Se 0.5000 0.5000 0.0000
Br1 Br 0.0000 0.5000 0.5000
```

Output
Spin magnetization: 0.0 μB/f.u.
Distance to the lowest polymorph of the same formula: 600 meV/atom

An optimized crystal structure of BeGaSeBr2, computed with PBE-GGA.

```
data_BeGaSeBr2
_chemical_formula_sum 'Be1 Ga1 Se1 Br2'
_space_group_name_H-M_alt 'P 4/m m m'
_space_group_IT_number 123
_space_group_name_Hall '-P 4 2'
_cell_length_a 5.0097
_cell_length_b 5.0097
_cell_length_c 4.6032
_cell_angle_alpha 90.00
_cell_angle_beta 90.00
_cell_angle_gamma 90.00
loop_
_atom_site_label
_atom_site_type_symbol
_atom_site_fract_x
_atom_site_fract_y
_atom_site_fract_z
Be1 Be 0.0000 0.0000 0.0000
Ga1 Ga 0.5000 0.5000 0.5000
Se1 Se 0.0000 0.0000 0.5000
Br1 Br 0.0000 0.5000 0.0000
```

Output
Spin magnetization: 0.0 μB/f.u.
Distance to the lowest polymorph of the same formula: 0 meV/atom

An optimized crystal structure of BeGaSe2Br, computed with PBE-GGA.

```
data_BeGaSe2Br
_chemical_formula_sum 'Be1 Ga1 Se2 Br1'
_space_group_name_H-M_alt 'P 4/m m m'
_space_group_IT_number 123
_space_group_name_Hall '-P 4 2'
_cell_length_a 5.2993
_cell_length_b 5.2993
_cell_length_c 5.4360
_cell_angle_alpha 90.00
_cell_angle_beta 90.00
_cell_angle_gamma 90.00
loop_
_atom_site_label
_atom_site_type_symbol
_atom_site_fract_x
_atom_site_fract_y
_atom_site_fract_z
Be1 Be 0.0000 0.0000 0.0000
Ga1 Ga 0.5000 0.5000 0.0000
Se1 Se 0.0000 0.5000 0.5000
Br1 Br 0.5000 0.5000 0.5000
```

Output
Spin magnetization: 0.0 μB/f.u.
Distance to the lowest polymorph of the same formula: 1130 meV/atom

An optimized crystal structure of BeGaSe2Br, computed with PBE-GGA.

```
data_BeGaSe2Br
_chemical_formula_sum 'Be1 Ga1 Se2 Br1'
_space_group_name_H-M_alt 'P 4/m m m'
_space_group_IT_number 123
_space_group_name_Hall '-P 4 2'
_cell_length_a 4.3768
_cell_length_b 4.3768
_cell_length_c 6.7371
_cell_angle_alpha 90.00
_cell_angle_beta 90.00
_cell_angle_gamma 90.00
loop_
_atom_site_label
_atom_site_type_symbol
_atom_site_fract_x
_atom_site_fract_y
_atom_site_fract_z
Be1 Be 0.0000 0.0000 0.0000
Ga1 Ga 0.5000 0.5000 0.5000
Se1 Se 0.0000 0.5000 0.0000
Br1 Br 0.0000 0.0000 0.5000
```

Output
Spin magnetization: 0.0 μB/f.u.
Distance to the lowest polymorph of the same formula: 0 meV/atom

An optimized crystal structure of BeGaSiBr2, computed with PBE-GGA.

```
data_BeGaSiBr2
_chemical_formula_sum 'Be1 Ga1 Si1 Br2'
_space_group_name_H-M_alt 'P 4/m m m'
_space_group_IT_number 123
_space_group_name_Hall '-P 4 2'
_cell_length_a 4.8608
_cell_length_b 4.8608
_cell_length_c 4.6799
_cell_angle_alpha 90.00
_cell_angle_beta 90.00
_cell_angle_gamma 90.00
loop_
_atom_site_label
_atom_site_type_symbol
_atom_site_fract_x
_atom_site_fract_y
_atom_site_fract_z
Be1 Be 0.0000 0.0000 0.0000
Ga1 Ga 0.0000 0.0000 0.5000
Si1 Si 0.5000 0.5000 0.5000
Br1 Br 0.0000 0.5000 0.0000
```

Output
Spin magnetization: 1.0 μB/f.u.

An optimized crystal structure of BeTlGaBr4, computed with PBE-GGA.

```
data_BeTlGaBr4
_chemical_formula_sum 'Be2 Tl2 Ga2 Br8'
_space_group_name_H-M_alt 'P 1 21/m 1'
_space_group_IT_number 11
_space_group_name_Hall '-P 2yb'
_cell_length_a 6.9440
_cell_length_b 7.2785
_cell_length_c 9.2731
_cell_angle_alpha 90.00
_cell_angle_beta 109.46
_cell_angle_gamma 90.00
loop_
_atom_site_label
_atom_site_type_symbol
_atom_site_fract_x
_atom_site_fract_y
_atom_site_fract_z
Be1 Be 0.2037 0.2500 0.2970
Tl1 Tl 0.2741 0.7500 0.0765
Ga1 Ga 0.2375 0.7500 0.5430
Br1 Br 0.0046 0.0076 0.2410
Br2 Br 0.3830 0.2500 0.5429
Br3 Br 0.4098 0.2500 0.1600
```

Output
Spin magnetization: 0.0 μB/f.u.

An optimized crystal structure of BeGeBr2, computed with PBE-GGA.

```
data_BeGeBr2
_chemical_formula_sum 'Be4 Ge4 Br8'
_space_group_name_H-M_alt 'F m -3 m'
_space_group_IT_number 225
_space_group_name_Hall '-F 4 2 3'
_cell_length_a 7.0277
_cell_length_b 7.0277
_cell_length_c 7.0277
_cell_angle_alpha 90.00
_cell_angle_beta 90.00
_cell_angle_gamma 90.00
loop_
_atom_site_label
_atom_site_type_symbol
_atom_site_fract_x
_atom_site_fract_y
_atom_site_fract_z
Be1 Be 0.0000 0.0000 0.0000
Ge1 Ge 0.0000 0.0000 0.5000
Br1 Br 0.2500 0.2500 0.2500
```

Output
Spin magnetization: 0.0 μB/f.u.
Distance to the lowest polymorph of the same formula: 718 meV/atom

An optimized crystal structure of BeGeBr2, computed with PBE-GGA.

```
data_BeGeBr2
_chemical_formula_sum 'Be4 Ge4 Br8'
_space_group_name_H-M_alt 'I -4 2 d'
_space_group_IT_number 122
_space_group_name_Hall 'I -4 2bw'
_cell_length_a 6.6187
_cell_length_b 6.6187
_cell_length_c 9.6466
_cell_angle_alpha 90.00
_cell_angle_beta 90.00
_cell_angle_gamma 90.00
loop_
_atom_site_label
_atom_site_type_symbol
_atom_site_fract_x
_atom_site_fract_y
_atom_site_fract_z
Be1 Be 0.0000 0.0000 0.0000
Ge1 Ge 0.0000 0.0000 0.5000
Br1 Br 0.1240 0.2500 0.1250
```

Output
Spin magnetization: 0.0 μB/f.u.
Distance to the lowest polymorph of the same formula: 322 meV/atom

An optimized crystal structure of Be3GeBr, computed with PBE-GGA.

```
data_Be3GeBr
_chemical_formula_sum 'Be3 Ge1 Br1'
_space_group_name_H-M_alt 'P m -3 m'
_space_group_IT_number 221
_space_group_name_Hall '-P 4 2 3'
_cell_length_a 4.4268
_cell_length_b 4.4268
_cell_length_c 4.4268
_cell_angle_alpha 90.00
_cell_angle_beta 90.00
_cell_angle_gamma 90.00
loop_
_atom_site_label
_atom_site_type_symbol
_atom_site_fract_x
_atom_site_fract_y
_atom_site_fract_z
Be1 Be 0.0000 0.0000 0.5000
Ge1 Ge 0.0000 0.0000 0.0000
Br1 Br 0.5000 0.5000 0.5000
```

Output
Spin magnetization: 0.0 μB/f.u.
Distance to the lowest polymorph of the same formula: 0 meV/atom

An optimized crystal structure of BeGeBr2, computed with PBE-GGA.

```
data_BeGeBr2
_chemical_formula_sum 'Be3 Ge3 Br6'
_space_group_name_H-M_alt 'R -3 m'
_space_group_IT_number 166
_space_group_name_Hall '-R 3 2"'
_cell_length_a 3.3371
_cell_length_b 3.3371
_cell_length_c 35.0669
_cell_angle_alpha 90.00
_cell_angle_beta 90.00
_cell_angle_gamma 120.00
loop_
_atom_site_label
_atom_site_type_symbol
_atom_site_fract_x
_atom_site_fract_y
_atom_site_fract_z
Be1 Be 0.0000 0.0000 0.0000
Ge1 Ge 0.0000 0.0000 0.5000
Br1 Br 0.0000 0.0000 0.3733
```

Output
Spin magnetization: 0.0 μB/f.u.
Distance to the lowest polymorph of the same formula: 0 meV/atom

An optimized crystal structure of K2BeGeBr6, computed with PBE-GGA.

```
data_K2BeGeBr6
_chemical_formula_sum 'K6 Be3 Ge3 Br18'
_space_group_name_H-M_alt 'R 3'
_space_group_IT_number 146
_space_group_name_Hall 'R 3'
_cell_length_a 7.5099
_cell_length_b 7.5099
_cell_length_c 23.6159
_cell_angle_alpha 90.00
_cell_angle_beta 90.00
_cell_angle_gamma 120.00
loop_
_atom_site_label
_atom_site_type_symbol
_atom_site_fract_x
_atom_site_fract_y
_atom_site_fract_z
K1 K 0.0000 0.0000 0.0000
K2 K 0.0000 0.0000 0.4957
Be1 Be 0.0000 0.0000 0.2316
Ge1 Ge 0.0000 0.0000 0.7831
Br1 Br 0.0743 0.7247 0.3960
Br2 Br 0.0824 0.3672 0.8966
```

Output
Spin magnetization: 0.0 μB/f.u.

An optimized crystal structure of KBe2GeBr8, computed with PBE-GGA.

```
data_KBe2GeBr8
_chemical_formula_sum 'K3 Be6 Ge3 Br24'
_space_group_name_H-M_alt 'R -3'
_space_group_IT_number 148
_space_group_name_Hall '-R 3'
_cell_length_a 6.4748
_cell_length_b 6.4748
_cell_length_c 30.2142
_cell_angle_alpha 90.00
_cell_angle_beta 90.00
_cell_angle_gamma 120.00
loop_
_atom_site_label
_atom_site_type_symbol
_atom_site_fract_x
_atom_site_fract_y
_atom_site_fract_z
K1 K 0.0000 0.0000 0.0000
Be1 Be 0.0000 0.0000 0.2428
Ge1 Ge 0.0000 0.0000 0.5000
Br1 Br 0.0000 0.0000 0.3135
Br2 Br 0.0025 0.6750 0.2205
```

Output
Spin magnetization: 0.0 μB/f.u.

An optimized crystal structure of MgBeGe2Br, computed with PBE-GGA.

```
data_MgBeGe2Br
_chemical_formula_sum 'Mg1 Be1 Ge2 Br1'
_space_group_name_H-M_alt 'P 4/m m m'
_space_group_IT_number 123
_space_group_name_Hall '-P 4 2'
_cell_length_a 5.1485
_cell_length_b 5.1485
_cell_length_c 4.8018
_cell_angle_alpha 90.00
_cell_angle_beta 90.00
_cell_angle_gamma 90.00
loop_
_atom_site_label
_atom_site_type_symbol
_atom_site_fract_x
_atom_site_fract_y
_atom_site_fract_z
Mg1 Mg 0.0000 0.0000 0.0000
Be1 Be 0.0000 0.0000 0.5000
Ge1 Ge 0.0000 0.5000 0.0000
Br1 Br 0.5000 0.5000 0.5000
```

Output
Spin magnetization: 0.0 μB/f.u.

An optimized crystal structure of BeGeMoBr2, computed with PBE-GGA.

```
data_BeGeMoBr2
_chemical_formula_sum 'Be1 Ge1 Mo1 Br2'
_space_group_name_H-M_alt 'P 4/m m m'
_space_group_IT_number 123
_space_group_name_Hall '-P 4 2'
_cell_length_a 4.4358
_cell_length_b 4.4358
_cell_length_c 5.8499
_cell_angle_alpha 90.00
_cell_angle_beta 90.00
_cell_angle_gamma 90.00
loop_
_atom_site_label
_atom_site_type_symbol
_atom_site_fract_x
_atom_site_fract_y
_atom_site_fract_z
Be1 Be 0.0000 0.0000 0.0000
Ge1 Ge 0.5000 0.5000 0.5000
Mo1 Mo 0.0000 0.0000 0.5000
Br1 Br 0.0000 0.5000 0.0000
```

Output
Spin magnetization: 3.6 μB/f.u.

An optimized crystal structure of BeGeBr2O, computed with PBE-GGA.

```
data_BeGeBr2O
_chemical_formula_sum 'Be1 Ge1 Br2 O1'
_space_group_name_H-M_alt 'P 4/m m m'
_space_group_IT_number 123
_space_group_name_Hall '-P 4 2'
_cell_length_a 5.4568
_cell_length_b 5.4568
_cell_length_c 3.6692
_cell_angle_alpha 90.00
_cell_angle_beta 90.00
_cell_angle_gamma 90.00
loop_
_atom_site_label
_atom_site_type_symbol
_atom_site_fract_x
_atom_site_fract_y
_atom_site_fract_z
Be1 Be 0.0000 0.0000 0.0000
Ge1 Ge 0.5000 0.5000 0.5000
Br1 Br 0.0000 0.5000 0.5000
O1 O 0.5000 0.5000 0.0000
```

Output
Spin magnetization: 0.7 μB/f.u.

An optimized crystal structure of BeGe2PBr, computed with PBE-GGA.

```
data_BeGe2PBr
_chemical_formula_sum 'Be1 Ge2 P1 Br1'
_space_group_name_H-M_alt 'P 4/m m m'
_space_group_IT_number 123
_space_group_name_Hall '-P 4 2'
_cell_length_a 5.2556
_cell_length_b 5.2556
_cell_length_c 4.3109
_cell_angle_alpha 90.00
_cell_angle_beta 90.00
_cell_angle_gamma 90.00
loop_
_atom_site_label
_atom_site_type_symbol
_atom_site_fract_x
_atom_site_fract_y
_atom_site_fract_z
Be1 Be 0.0000 0.0000 0.0000
Ge1 Ge 0.0000 0.5000 0.5000
P1 P 0.5000 0.5000 0.0000
Br1 Br 0.0000 0.0000 0.5000
```

Output
Spin magnetization: 0.0 μB/f.u.
Distance to the lowest polymorph of the same formula: 880 meV/atom

An optimized crystal structure of BeGe2PBr, computed with PBE-GGA.

```
data_BeGe2PBr
_chemical_formula_sum 'Be1 Ge2 P1 Br1'
_space_group_name_H-M_alt 'P 4/m m m'
_space_group_IT_number 123
_space_group_name_Hall '-P 4 2'
_cell_length_a 5.0376
_cell_length_b 5.0376
_cell_length_c 3.9320
_cell_angle_alpha 90.00
_cell_angle_beta 90.00
_cell_angle_gamma 90.00
loop_
_atom_site_label
_atom_site_type_symbol
_atom_site_fract_x
_atom_site_fract_y
_atom_site_fract_z
Be1 Be 0.0000 0.0000 0.0000
Ge1 Ge 0.0000 0.5000 0.0000
P1 P 0.0000 0.0000 0.5000
Br1 Br 0.5000 0.5000 0.5000
```

Output
Spin magnetization: 0.0 μB/f.u.
Distance to the lowest polymorph of the same formula: 0 meV/atom

An optimized crystal structure of BeGe2PdBr, computed with PBE-GGA.

```
data_BeGe2PdBr
_chemical_formula_sum 'Be1 Ge2 Pd1 Br1'
_space_group_name_H-M_alt 'P 4/m m m'
_space_group_IT_number 123
_space_group_name_Hall '-P 4 2'
_cell_length_a 4.4359
_cell_length_b 4.4359
_cell_length_c 4.9001
_cell_angle_alpha 90.00
_cell_angle_beta 90.00
_cell_angle_gamma 90.00
loop_
_atom_site_label
_atom_site_type_symbol
_atom_site_fract_x
_atom_site_fract_y
_atom_site_fract_z
Be1 Be 0.0000 0.0000 0.0000
Ge1 Ge 0.0000 0.5000 0.0000
Pd1 Pd 0.5000 0.5000 0.5000
Br1 Br 0.0000 0.0000 0.5000
```

Output
Spin magnetization: 0.0 μB/f.u.

Listing VASP energy for the structures above in their given order: -3.90, -2.48, -2.32, -2.92, -1.99, -3.12, -2.59, -3.10, -2.37, -2.76, -2.80, -3.09, -3.23, -3.09, -2.38, -3.58, -3.24, -2.72, -3.60, -3.48 eV per atom.
Listing raw formation energy for the structures above in their given order: -137.5, 597.2, 400.7, -199.8, 1087.8, -42.3, 512.1, -845.1, 555.3, 159.1, 691.5, -163.2, -1169.2, -880.6, 862.2, 921.4, 84.8, 1289.8, 409.9, 487.4 meV/atom.